1.
TaTc2Pd | PBE-GGA | optimized geometry

CIF file:
```
data_TaTc2Pd
_chemical_formula_sum 'Ta4 Tc8 Pd4'
_symmetry_space_group_name_H-M 'I -4 2 d'
_symmetry_Int_Tables_number 122
_symmetry_space_group_name_Hall 'I -4 2bw'
_cell_length_a 3.741
_cell_length_b 3.741
_cell_length_c 19.214
_cell_angle_alpha 90.00
_cell_angle_beta 90.00
_cell_angle_gamma 90.00
loop_
_atom_site_label
_atom_site_fract_x
_atom_site_fract_y
_atom_site_fract_z
Ta1 0.000 0.000 0.000
Tc1 0.233 0.250 0.625
Pd1 0.000 0.000 0.500
```

Mass density (Mg/m³): 11.940
Offset from the most stable computed form (eV per atom): 0.6574
DOS at the Fermi energy (states/eV/f.u.): 5.51
Formation energy from the elements (kJ/mol of atoms): 48.1

=====

2.
SrHg2Ge2 | PBE-GGA | optimized geometry

CIF file:
```
data_SrHg2Ge2
_chemical_formula_sum 'Sr2 Hg4 Ge4'
_symmetry_space_group_name_H-M 'P 4/m b m'
_symmetry_Int_Tables_number 127
_symmetry_space_group_name_Hall '-P 4 2ab'
_cell_length_a 8.086
_cell_length_b 8.086
_cell_length_c 3.901
_cell_angle_alpha 90.00
_cell_angle_beta 90.00
_cell_angle_gamma 90.00
loop_
_atom_site_label
_atom_site_fract_x
_atom_site_fract_y
_atom_site_fract_z
Sr1 0.000 0.000 0.000
Hg1 0.172 0.328 0.500
Ge1 0.115 0.615 0.000
```

Mass density (Mg/m³): 8.256
DOS at the Fermi energy (states/eV/f.u.): 2.73
Formation energy from the elements (kJ/mol of atoms): -6.7

=====

3.
Ca2TeRh | PBE-GGA | optimized geometry

CIF file:
```
data_Ca2TeRh
_chemical_formula_sum 'Ca6 Te3 Rh3'
_symmetry_space_group_name_H-M 'R -3 m'
_symmetry_Int_Tables_number 166
_symmetry_space_group_name_Hall '-R 3 2"'
_cell_length_a 4.0083
_cell_length_b 4.0083
_cell_length_c 23.6941
_cell_angle_alpha 90.00
_cell_angle_beta 90.00
_cell_angle_gamma 120.00
loop_
_atom_site_label
_atom_site_fract_x
_atom_site_fract_y
_atom_site_fract_z
Ca1 0.0000 0.0000 0.2446
Te1 0.0000 0.0000 0.0000
Rh1 0.0000 0.0000 0.5000
```

Mass density (Mg/m³): 4.694
DOS at the Fermi energy (states/eV/f.u.): 2.47
Formation energy from raw total energies (eV/atom): -0.589

=====

4.
TiGaCo2H | PBE-GGA | optimized geometry

CIF file:
```
data_TiGaCo2H
_chemical_formula_sum 'Ti1 Ga1 Co2 H1'
_symmetry_space_group_name_H-M 'P 4/m m m'
_symmetry_Int_Tables_number 123
_symmetry_space_group_name_Hall '-P 4 2'
_cell_length_a 3.764
_cell_length_b 3.764
_cell_length_c 3.700
_cell_angle_alpha 90.00
_cell_angle_beta 90.00
_cell_angle_gamma 90.00
loop_
_atom_site_label
_atom_site_fract_x
_atom_site_fract_y
_atom_site_fract_z
Ti1 0.000 0.000 0.000
Ga1 0.500 0.500 0.000
Co1 0.000 0.500 0.500
H1 0.000 0.000 0.500
```

Mass density (Mg/m³): 7.491
DOS at the Fermi energy (states/eV/f.u.): 3.54
Final energy (eV/atom): -5.99

=====

5.
In7Sn3Hg | PBE-GGA | optimized geometry

CIF file:
```
data_In7Sn3Hg
_chemical_formula_sum 'In14 Sn6 Hg2'
_symmetry_space_group_name_H-M 'C 1 2/m 1'
_symmetry_Int_Tables_number 12
_cell_length_a 9.481
_cell_length_b 10.424
_cell_length_c 6.433
_cell_angle_alpha 90.00
_cell_angle_beta 96.73
_cell_angle_gamma 90.00
loop_
_symmetry_equiv_pos_as_xyz
'x,y,z'
'-x,-y,-z'
'-x,y,-z'
'x,-y,z'
'x+1/2,y+1/2,z'
'-x+1/2,-y+1/2,-z'
'-x+1/2,y+1/2,-z'
'x+1/2,-y+1/2,z'
loop_
_atom_site_label
_atom_site_fract_x
_atom_site_fract_y
_atom_site_fract_z
In1 0.000 0.000 0.000
In2 0.227 0.500 0.199
In3 0.247 0.328 0.707
Sn1 0.000 0.303 0.000
Sn2 0.000 0.500 0.500
Hg1 0.000 0.000 0.500
```

Mass density (Mg/m³): 7.156
DOS at the Fermi energy (states/eV/f.u.): 4.50
Formation energy from the elements (kJ/mol of atoms): 7.0

=====

6.
Li2CaDyGe2 | PBE-GGA | optimized geometry

CIF file:
```
data_Li2CaDyGe2
_chemical_formula_sum 'Li2 Ca1 Dy1 Ge2'
_symmetry_space_group_name_H-M 'P -3 m 1'
_symmetry_Int_Tables_number 164
_symmetry_space_group_name_Hall '-P 3 2"'
_cell_length_a 4.4939
_cell_length_b 4.4939
_cell_length_c 7.2627
_cell_angle_alpha 90.00
_cell_angle_beta 90.00
_cell_angle_gamma 120.00
loop_
_atom_site_label
_atom_site_fract_x
_atom_site_fract_y
_atom_site_fract_z
Li1 0.3333 0.6667 0.2313
Ca1 0.0000 0.0000 0.5000
Dy1 0.0000 0.0000 0.0000
Ge1 0.3333 0.6667 0.7781
```

Mass density (Mg/m³): 4.729
DOS at the Fermi energy (states/eV/f.u.): 2.72
Formation energy from the elements (kJ/mol of atoms): -57.0

=====

7.
CaEuAlHg | PBE-GGA | optimized geometry

CIF file:
```
data_CaEuAlHg
_chemical_formula_sum 'Ca4 Eu4 Al4 Hg4'
_symmetry_space_group_name_H-M 'F -4 3 m'
_symmetry_Int_Tables_number 216
_symmetry_space_group_name_Hall 'F -4 2 3'
_cell_length_a 7.618
_cell_length_b 7.618
_cell_length_c 7.618
_cell_angle_alpha 90.00
_cell_angle_beta 90.00
_cell_angle_gamma 90.00
loop_
_atom_site_label
_atom_site_fract_x
_atom_site_fract_y
_atom_site_fract_z
Ca1 0.000 0.000 0.000
Eu1 0.000 0.000 0.500
Al1 0.250 0.250 0.250
Hg1 0.250 0.250 0.750
```

Mass density (Mg/m³): 6.303
DOS at the Fermi energy (states/eV/f.u.): 10.07
Formation energy from the elements (kJ/mol of atoms): -35.6

=====

8.
CdMoN2 | PBE-GGA | optimized geometry

CIF file:
```
data_CdMoN2
_chemical_formula_sum 'Cd3 Mo3 N6'
_symmetry_space_group_name_H-M 'R -3 m'
_symmetry_Int_Tables_number 166
_symmetry_space_group_name_Hall '-R 3 2"'
_cell_length_a 3.0034
_cell_length_b 3.0034
_cell_length_c 20.7053
_cell_angle_alpha 90.00
_cell_angle_beta 90.00
_cell_angle_gamma 120.00
loop_
_atom_site_label
_atom_site_fract_x
_atom_site_fract_y
_atom_site_fract_z
Cd1 0.0000 0.0000 0.0000
Mo1 0.0000 0.0000 0.5000
N1 0.0000 0.0000 0.1110
```

Mass density (Mg/m³): 7.280
DOS at the Fermi energy (states/eV/f.u.): 1.58
Formation energy from raw total energies (eV/atom): 0.087